RbCeSb2Pt2: optimized geometry, GGA-PBE.

Volume (A^3/atom): 29.1
Formation energy from raw total energies (meV/atom): -810

abc: 4.4602 4.4602 10.1199
angles: 90.00 90.00 120.00
Closest atoms and distances in Å follow each position.
Fractional positions:
Ce1 0.0000 0.0000 0.5000  6 Pt 3.09
Pt1 0.6667 0.3333 0.6685  3 Sb 2.65
Pt2 0.3333 0.6667 0.3315  3 Sb 2.65
Sb1 0.3333 0.6667 0.7309  3 Pt 2.65
Sb2 0.6667 0.3333 0.2691  3 Pt 2.65
Rb1 0.0000 0.0000 0.0000  6 Sb 3.75